No. 1
# Cu17Bi (PBE, optimized geometry)
# E_tot, eV/atom: -3.67
data_Cu17Bi
_chemical_formula_sum 'Cu34 Bi2'
_cell_length_a 4.401
_cell_length_b 5.087
_cell_length_c 29.278
_cell_angle_alpha 90.00
_cell_angle_beta 90.14
_cell_angle_gamma 90.00
_symmetry_space_group_name_H-M 'P 1 21/m 1'
_symmetry_Int_Tables_number 11
loop_
_symmetry_equiv_pos_as_xyz
'x,y,z'
'-x,-y,-z'
'-x,y+1/2,-z'
'x,-y+1/2,z'
loop_
_atom_site_label
_atom_site_type_symbol
_atom_site_fract_x
_atom_site_fract_y
_atom_site_fract_z
Cu1 Cu 0.000 0.000 0.000
Cu2 Cu 0.006 0.004 0.214
Cu3 Cu 0.158 0.750 0.283
Cu4 Cu 0.161 0.250 0.857
Cu5 Cu 0.164 0.750 0.858
Cu6 Cu 0.166 0.250 0.071
Cu7 Cu 0.167 0.750 0.071
Cu8 Cu 0.333 0.001 0.929
Cu9 Cu 0.336 0.000 0.142
Cu10 Cu 0.343 0.002 0.717
Cu11 Cu 0.496 0.250 0.788
Cu12 Cu 0.499 0.750 0.788
Cu13 Cu 0.500 0.250 0.000
Bi1 Bi 0.156 0.250 0.320



No. 2
# HgSO3 (PBE, optimized geometry)
# E_tot, eV/atom: -4.66
data_HgSO3
_chemical_formula_sum 'Hg4 S4 O12'
_cell_length_a 4.510
_cell_length_b 8.563
_cell_length_c 7.335
_cell_angle_alpha 90.00
_cell_angle_beta 95.53
_cell_angle_gamma 90.00
_symmetry_space_group_name_H-M 'P 1 21/c 1'
_symmetry_Int_Tables_number 14
loop_
_symmetry_equiv_pos_as_xyz
'x,y,z'
'-x,-y,-z'
'-x,y+1/2,-z+1/2'
'x,-y+1/2,z+1/2'
loop_
_atom_site_label
_atom_site_type_symbol
_atom_site_fract_x
_atom_site_fract_y
_atom_site_fract_z
Hg1 Hg 0.243 0.200 0.495
S1 S 0.267 0.580 0.293
O1 O 0.067 0.096 0.186
O2 O 0.280 0.630 0.090
O3 O 0.334 0.097 0.786



No. 3
# HoOs2 (PBE, optimized geometry)
# E_form, meV per atom: -336
# E_tot, eV/atom: -9.35
data_HoOs2
_chemical_formula_sum 'Ho4 Os8'
_cell_length_a 5.3027
_cell_length_b 5.3027
_cell_length_c 8.8065
_cell_angle_alpha 90.00
_cell_angle_beta 90.00
_cell_angle_gamma 120.00
_symmetry_space_group_name_H-M 'P 63/m m c'
_symmetry_Int_Tables_number 194
_symmetry_space_group_name_Hall '-P 6c 2c'
loop_
_atom_site_label
_atom_site_type_symbol
_atom_site_fract_x
_atom_site_fract_y
_atom_site_fract_z
Ho1 Ho 0.3333 0.6667 0.0657
Os1 Os 0.0000 0.0000 0.0000
Os2 Os 0.1719 0.3439 0.7500



No. 4
# TmBe4Cu8 (PBE, optimized geometry)
# E_tot, eV/atom: -3.93
data_TmBe4Cu8
_chemical_formula_sum 'Tm2 Be8 Cu16'
_cell_length_a 8.134
_cell_length_b 8.134
_cell_length_c 4.564
_cell_angle_alpha 90.00
_cell_angle_beta 90.00
_cell_angle_gamma 90.00
_symmetry_space_group_name_H-M 'I 4/m m m'
_symmetry_Int_Tables_number 139
_symmetry_space_group_name_Hall '-I 4 2'
loop_
_atom_site_label
_atom_site_type_symbol
_atom_site_fract_x
_atom_site_fract_y
_atom_site_fract_z
Tm1 Tm 0.000 0.000 0.000
Be1 Be 0.250 0.250 0.250
Cu1 Cu 0.000 0.222 0.500
Cu2 Cu 0.000 0.349 0.000



No. 5
# Zr5ZnOs4 (PBE, optimized geometry)
# E_form, meV per atom: -487
# E_tot, eV/atom: -9.38
data_Zr5ZnOs4
_chemical_formula_sum 'Zr5 Zn1 Os4'
_cell_length_a 3.285
_cell_length_b 3.285
_cell_length_c 16.559
_cell_angle_alpha 90.00
_cell_angle_beta 90.00
_cell_angle_gamma 90.00
_symmetry_space_group_name_H-M 'P 4/m m m'
_symmetry_Int_Tables_number 123
_symmetry_space_group_name_Hall '-P 4 2'
loop_
_atom_site_label
_atom_site_type_symbol
_atom_site_fract_x
_atom_site_fract_y
_atom_site_fract_z
Zr1 Zr 0.000 0.000 0.000
Zr2 Zr 0.000 0.000 0.199
Zr3 Zr 0.000 0.000 0.397
Zn1 Zn 0.500 0.500 0.500
Os1 Os 0.500 0.500 0.099
Os2 Os 0.500 0.500 0.299



No. 6
# GaTcPd (PBE, optimized geometry)
# E_tot, eV/atom: -5.92
# Energy relative to the lowest polymorph listed for this composition, meV/atom: 0
data_GaTcPd
_chemical_formula_sum 'Ga4 Tc4 Pd4'
_cell_length_a 5.967
_cell_length_b 5.967
_cell_length_c 5.967
_cell_angle_alpha 90.00
_cell_angle_beta 90.00
_cell_angle_gamma 90.00
_symmetry_space_group_name_H-M 'F -4 3 m'
_symmetry_Int_Tables_number 216
_symmetry_space_group_name_Hall 'F -4 2 3'
loop_
_atom_site_label
_atom_site_type_symbol
_atom_site_fract_x
_atom_site_fract_y
_atom_site_fract_z
Ga1 Ga 0.000 0.000 0.000
Tc1 Tc 0.000 0.000 0.500
Pd1 Pd 0.250 0.250 0.250



No. 7
# Dy2TmIn3AgPd2 (PBE, optimized geometry)
# E_tot, eV/atom: -4.59
data_Dy2TmIn3AgPd2
_chemical_formula_sum 'Dy4 Tm2 In6 Ag2 Pd4'
_cell_length_a 3.762
_cell_length_b 13.542
_cell_length_c 7.832
_cell_angle_alpha 90.00
_cell_angle_beta 90.00
_cell_angle_gamma 90.00
_symmetry_space_group_name_H-M 'A m m 2'
_symmetry_Int_Tables_number 38
loop_
_symmetry_equiv_pos_as_xyz
'x,y,z'
'-x,-y,z'
'-x,y,z'
'x,-y,z'
'x,y+1/2,z+1/2'
'-x,-y+1/2,z+1/2'
'-x,y+1/2,z+1/2'
'x,-y+1/2,z+1/2'
loop_
_atom_site_label
_atom_site_type_symbol
_atom_site_fract_x
_atom_site_fract_y
_atom_site_fract_z
Dy1 Dy 0.000 0.204 0.000
Tm1 Tm 0.000 0.000 0.613
In1 In 0.500 0.000 0.934
In2 In 0.500 0.134 0.340
Ag1 Ag 0.000 0.000 0.205
Pd1 Pd 0.500 0.165 0.703



No. 8
# Gd2Tm5Lu (PBE, optimized geometry)
# E_form, meV per atom: 3
# E_tot, eV/atom: -4.52
data_Gd2Tm5Lu
_chemical_formula_sum 'Gd4 Tm10 Lu2'
_cell_length_a 5.562
_cell_length_b 7.115
_cell_length_c 12.325
_cell_angle_alpha 90.00
_cell_angle_beta 90.00
_cell_angle_gamma 90.00
_symmetry_space_group_name_H-M 'A m m 2'
_symmetry_Int_Tables_number 38
loop_
_symmetry_equiv_pos_as_xyz
'x,y,z'
'-x,-y,z'
'-x,y,z'
'x,-y,z'
'x,y+1/2,z+1/2'
'-x,-y+1/2,z+1/2'
'-x,y+1/2,z+1/2'
'x,-y+1/2,z+1/2'
loop_
_atom_site_label
_atom_site_type_symbol
_atom_site_fract_x
_atom_site_fract_y
_atom_site_fract_z
Gd1 Gd 0.000 0.000 0.000
Gd2 Gd 0.500 0.000 0.333
Tm1 Tm 0.000 0.000 0.501
Tm2 Tm 0.000 0.249 0.750
Tm3 Tm 0.500 0.249 0.584
Lu1 Lu 0.500 0.000 0.832



No. 9
# YMgCuSb (PBE, optimized geometry)
# E_tot, eV/atom: -4.04
# Energy relative to the lowest polymorph listed for this composition, meV/atom: 0
data_YMgCuSb
_chemical_formula_sum 'Y4 Mg4 Cu4 Sb4'
_cell_length_a 7.054
_cell_length_b 7.054
_cell_length_c 7.054
_cell_angle_alpha 90.00
_cell_angle_beta 90.00
_cell_angle_gamma 90.00
_symmetry_space_group_name_H-M 'F -4 3 m'
_symmetry_Int_Tables_number 216
_symmetry_space_group_name_Hall 'F -4 2 3'
loop_
_atom_site_label
_atom_site_type_symbol
_atom_site_fract_x
_atom_site_fract_y
_atom_site_fract_z
Y1 Y 0.000 0.000 0.000
Mg1 Mg 0.250 0.250 0.750
Cu1 Cu 0.250 0.250 0.250
Sb1 Sb 0.000 0.000 0.500



No. 10
# Os2W (PBE, optimized geometry)
# E_form, meV per atom: 344
# E_tot, eV/atom: -11.46
# Energy relative to the lowest polymorph listed for this composition, meV/atom: 0
data_Os2W
_chemical_formula_sum 'Os20 W10'
_cell_length_a 9.504
_cell_length_b 9.504
_cell_length_c 5.082
_cell_angle_alpha 90.00
_cell_angle_beta 90.00
_cell_angle_gamma 90.00
_symmetry_space_group_name_H-M 'P 42/m n m'
_symmetry_Int_Tables_number 136
_symmetry_space_group_name_Hall '-P 4n 2n'
loop_
_atom_site_label
_atom_site_type_symbol
_atom_site_fract_x
_atom_site_fract_y
_atom_site_fract_z
Os1 Os 0.050 0.366 0.000
Os2 Os 0.095 0.095 0.000
Os3 Os 0.182 0.818 0.248
W1 W 0.000 0.000 0.500
W2 W 0.066 0.268 0.500



No. 11
# Li2Dy (PBE, optimized geometry)
# E_tot, eV/atom: -2.66
# Energy relative to the lowest polymorph listed for this composition, meV/atom: 28
data_Li2Dy
_chemical_formula_sum 'Li8 Dy4'
_cell_length_a 3.492
_cell_length_b 15.030
_cell_length_c 5.109
_cell_angle_alpha 90.00
_cell_angle_beta 90.00
_cell_angle_gamma 90.00
_symmetry_space_group_name_H-M 'C m c m'
_symmetry_Int_Tables_number 63
_symmetry_space_group_name_Hall '-C 2c 2'
loop_
_atom_site_label
_atom_site_type_symbol
_atom_site_fract_x
_atom_site_fract_y
_atom_site_fract_z
Li1 Li 0.000 0.105 0.250
Li2 Li 0.000 0.258 0.750
Dy1 Dy 0.000 0.426 0.250



No. 12
# KTl3Ga3Au4 (PBE, optimized geometry)
# E_tot, eV/atom: -2.93
# Energy relative to the lowest polymorph listed for this composition, meV/atom: 0
data_KTl3Ga3Au4
_chemical_formula_sum 'K1 Tl3 Ga3 Au4'
_cell_length_a 8.3154
_cell_length_b 8.3154
_cell_length_c 4.3259
_cell_angle_alpha 90.00
_cell_angle_beta 90.00
_cell_angle_gamma 120.00
_symmetry_space_group_name_H-M 'P -6 m 2'
_symmetry_Int_Tables_number 187
_symmetry_space_group_name_Hall 'P -6 2'
loop_
_atom_site_label
_atom_site_type_symbol
_atom_site_fract_x
_atom_site_fract_y
_atom_site_fract_z
K1 K 0.0000 0.0000 0.0000
Tl1 Tl 0.1909 0.3818 0.5000
Ga1 Ga 0.5384 0.0767 0.0000
Au1 Au 0.3333 0.6667 0.0000
Au2 Au 0.4302 0.2151 0.5000



> The highest E_tot belongs to which entry?

Li2Dy



> What is the E_tot in the second record?

-4.66 eV/atom



> Look up the E_tot of the twelfth one.

-2.93 eV/atom



> Number 1 is which compound?

Cu17Bi